A plane-wave DFT calculation with PBE-GGA was carried out for crystalline Fe2TcAs at its relaxed geometry.

Properties
As for the energy of formation: 4.5 kJ/mol of atoms. As for the space group: P4mm (99).

Cell: 3.0293 3.0293 5.7066 Å, 90.00 90.00 90.00°
With the nearest neighbours (Å) after each atom.
Element x y z (fractional)
As 0.5000 0.5000 0.7626  5 Fe 2.55-2.66, 4 Tc 2.60
Fe 0.0000 0.0000 0.0053  4 Fe 2.49, 4 As 2.55
Fe 0.5000 0.5000 0.2290  4 Fe 2.49, 4 Tc 2.65, 1 As 2.66
Tc 0.0000 0.0000 0.5031  4 As 2.60, 6 Fe 2.65-2.87